First-principles (PBE-GGA) data for a geometry-optimized ZnRe2N structure, as listed in Alexandria via LeMat-Bulk.

abc: 4.9107 4.9107 6.5119
angles: 67.85 67.85 90.00
Last column: nearest neighbours and their distance in Å.
Element x y z (fractional)
Re: 0.4970 0.1250 0.2500  2 N 1.94
Re: 0.2530 0.6250 0.2500  2 N 1.94
Re: 0.3750 0.5030 0.7500  2 N 1.94
Re: 0.8750 0.7470 0.7500  2 N 1.94
Zn: 0.0000 0.0000 0.0000  4 Re 2.62
Zn: 0.7500 0.2500 0.5000  4 Re 2.62
N: 0.5000 0.5000 0.0000  4 Re 1.94
N: 0.2500 0.7500 0.5000  4 Re 1.94

Calculated values
* offset from the most stable computed form: 0.00 eV per formula unit
* space-group type: No. 122
* E_form (uncorrected): 0.999 eV per atom
* total energy: -7.62 eV per atom
* theoretical density: 11.3 g cm⁻³